A relaxed structure of NaAsRh2S, computed with PBE.

Properties
total moment: 0.12 μB/cell
symmetry: P4/mmm (123)
uncorrected formation energy: 435 meV per atom
calculated volume: 21.72 Å³/atom
E: -4.52 eV per atom

abc: 4.540 5.269 4.540
angles: 90.00 90.00 90.00
Atoms (fractional coordinates):
Na 0.000 0.500 0.000
As 0.000 0.000 0.000
Rh 0.000 0.000 0.500
Rh 0.500 0.000 0.000
S 0.500 0.500 0.500

=====

A relaxed structure of NaCuPbCl5, computed with PBE.

Properties
total moment: 1.90 μB/cell
symmetry: C2/c (15)
uncorrected formation energy: -1018 meV per atom
calculated volume: 29.90 Å³/atom
E: -3.31 eV per atom

abc: 7.263 7.263 10.396
angles: 103.30 103.30 108.42
Atoms (fractional coordinates):
Na 0.337 0.663 0.250
Na 0.663 0.337 0.750
Cu 0.665 0.335 0.250
Cu 0.335 0.665 0.750
Pb 0.000 0.000 0.500
Pb 0.000 0.000 0.000
Cl 0.104 0.896 0.250
Cl 0.896 0.104 0.750
Cl 0.890 0.325 0.131
Cl 0.110 0.675 0.869
Cl 0.675 0.110 0.369
Cl 0.325 0.890 0.631
Cl 0.674 0.602 0.419
Cl 0.326 0.398 0.581
Cl 0.398 0.326 0.081
Cl 0.602 0.674 0.919

=====

A relaxed structure of TbY2Er3Se6, computed with PBE.

Properties
total moment: 0.00 μB/cell
symmetry: C2/m (12)
uncorrected formation energy: -1731 meV per atom
calculated volume: 23.71 Å³/atom
E: -6.08 eV per atom

abc: 4.050 8.164 9.089
angles: 103.39 102.87 90.00
Atoms (fractional coordinates):
Tb 0.500 0.000 0.000
Y 0.834 0.668 0.668
Y 0.166 0.332 0.332
Er 0.500 0.500 0.000
Er 0.834 0.166 0.667
Er 0.166 0.834 0.333
Se 0.332 0.919 0.664
Se 0.666 0.586 0.332
Se 0.668 0.081 0.336
Se 0.999 0.253 0.998
Se 0.001 0.747 0.002
Se 0.334 0.414 0.668

=====

A relaxed structure of NaCo2Rh, computed with PBE.

Properties
total moment: 4.24 μB/cell
symmetry: Fm-3m (225)
calculated formation energy: 0.56 eV per atom
calculated volume: 13.82 Å³/atom
E: -5.16 eV per atom

abc: 4.276 4.276 4.276
angles: 60.00 60.00 60.00
Atoms (fractional coordinates):
Co 0.250 0.250 0.250
Co 0.750 0.750 0.750
Rh 0.500 0.500 0.500
Na 0.000 0.000 0.000

=====

A relaxed structure of PmZn3Co, computed with PBE.

Properties
total moment: 0.55 μB/cell
symmetry: Pm-3m (221)
calculated formation energy: -0.12 eV per atom
calculated volume: 19.10 Å³/atom
E: -3.25 eV per atom

abc: 4.571 4.571 4.571
angles: 90.00 90.00 90.00
Atoms (fractional coordinates):
Zn 0.000 0.500 0.000
Zn 0.000 0.000 0.500
Zn 0.500 0.000 0.000
Co 0.000 0.000 0.000
Pm 0.500 0.500 0.500

=====

A relaxed structure of NaPuF4, computed with PBE.

Properties
total moment: 5.00 μB/cell
symmetry: P4/mmm (123)
uncorrected formation energy: -3366 meV per atom
calculated volume: 14.81 Å³/atom
E: -7.22 eV per atom

abc: 3.967 3.967 5.648
angles: 90.02 90.02 90.00
Atoms (fractional coordinates):
Na 0.500 0.000 0.500
Pu 0.000 0.500 0.000
F 0.500 0.500 0.762
F 0.000 0.000 0.762
F 0.000 0.000 0.238
F 0.500 0.500 0.238